The following is a DFT calculation (PBE+U) of an optimized crystal structure of MnSnIO2.

Properties
- Symmetry: Cmcm, No. 63
- Theoretical density: 5.22 g/cm³
- Total energy: -56.87 eV per cell

Lattice parameters (Å, degrees): 5.6231 5.7797 7.1219 113.94 90.00 90.00
Site moments in Bohr magnetons follow the coordinates.
Positions (direct):
Mn1 0.2500 0.9890 0.9780  3.92
Mn2 0.7500 0.0110 0.0220  3.92
Sn1 0.2500 0.6038 0.2077  0.00
Sn2 0.7500 0.3962 0.7923  0.00
I1 0.7500 0.7571 0.5142  0.01
I2 0.2500 0.2429 0.4858  0.01
O1 0.5000 0.2308 0.0000  -0.05
O2 0.0000 0.7692 0.0000  -0.05
O3 0.5000 0.7692 0.0000  -0.05
O4 0.0000 0.2308 0.0000  -0.05